[1]
A plane-wave DFT calculation with PBE-GGA was carried out for crystalline CaCePb4 at its relaxed geometry.

```
6
Lattice="6.520 0.000 0.000 3.260 5.647 0.000 3.260 1.882 5.324" Properties=species:S:1:pos:R:3 pbc="T T T"
Pb 6.520 3.764 0.661
Pb 6.520 1.878 3.329
Pb 8.154 4.708 3.329
Pb 4.887 4.708 3.329
Ca 3.260 1.882 1.331
Ce 0.000 0.000 0.000
```

Summary:
- Calculated formation energy: -178 meV per atom



[2]
A plane-wave DFT calculation with PBE-GGA was carried out for crystalline CaCePb2 at its relaxed geometry.

```
4
Lattice="-3.613 0.677 0.150 -1.747 -0.045 3.237 0.191 10.497 2.339" Properties=species:S:1:pos:R:3 pbc="T T T"
Pb -3.888 8.287 4.287
Pb -1.281 2.842 1.439
Ca -2.585 5.564 2.863
Ce 0.000 0.000 0.000
```

Summary:
- Calculated formation energy: -314 meV per atom



[3]
A plane-wave DFT calculation with PBE-GGA was carried out for crystalline CaCe4Pb5 at its relaxed geometry.

```
10
Lattice="-0.793 3.004 -1.804 -2.214 1.004 2.646 17.404 10.865 10.437" Properties=species:S:1:pos:R:3 pbc="T T T"
Ca 0.000 0.000 0.000
Ce 3.497 2.183 2.097
Ce 6.969 4.350 4.179
Ce 10.435 6.515 6.258
Ce 13.907 8.682 8.340
Pb 0.227 3.085 1.458
Pb 3.729 5.271 3.559
Pb 7.198 7.437 5.639
Pb 10.668 9.603 7.720
Pb 14.170 11.789 9.820
```

Summary:
- Calculated formation energy: -423 meV per atom